[1]
Below is a relaxed Pr2PuS crystal, with properties calculated at the PBE level.

Results
- D(E_F): 1.99 states/eV per atom
- Size of the total moment: 22.27 Bohr magnetons per cell
- E_form (uncorrected): -0.76 eV per atom

Lattice parameters (Å, degrees): 3.8682 3.8682 28.1929 90.00 90.00 120.00
Space group R-3m (No. 166, hexagonal axes)
Asymmetric unit:
Pr  0.0000  0.0000  0.2307 [6 per cell]
Pu  0.0000  0.0000  0.0000 [3 per cell]
S  0.0000  0.0000  0.5000 [3 per cell]

***

[2]
Below is a relaxed Pr2PuS4 crystal, with properties calculated at the PBE level.

Results
- D(E_F): 1.36 states/eV per atom
- Size of the total moment: 10.90 Bohr magnetons per cell
- E_form (uncorrected): -1.90 eV per atom

Lattice parameters (Å, degrees): 8.263 11.419 4.084 90.00 90.00 90.00
Space group Cmmm (No. 65)
Asymmetric unit:
Pr  0.250  0.250  0.000 [4 per cell]
Pu  0.000  0.000  0.500 [2 per cell]
S  0.000  0.247  0.500 [4 per cell]
S  0.225  0.000  0.000 [4 per cell]

***

[3]
Below is a relaxed PrPuS crystal, with properties calculated at the PBE level.

Results
- D(E_F): 1.78 states/eV per atom
- Size of the total moment: 2.73 Bohr magnetons per cell
- E_form (uncorrected): -0.76 eV per atom

Lattice parameters (Å, degrees): 10.603 3.465 9.565 90.00 121.56 90.00
Space group C2/m (No. 12)
Asymmetric unit:
Pr  0.061  0.000  0.331 [4 per cell]
Pu  0.247  0.000  0.079 [4 per cell]
S  0.224  0.000  0.682 [4 per cell]

***

[4]
Below is a relaxed PrPuS3 crystal, with properties calculated at the PBE level.

Results
- D(E_F): 1.47 states/eV per atom
- Size of the total moment: 10.00 Bohr magnetons per cell
- E_form (uncorrected): -1.83 eV per atom

Lattice parameters (Å, degrees): 4.027 6.610 8.821 90.00 90.00 90.00
Space group Pmmn (No. 59, origin choice 2)
Asymmetric unit:
Pr  0.250  0.250  0.148 [2 per cell]
Pu  0.250  0.750  0.400 [2 per cell]
S  0.250  0.519  0.667 [4 per cell]
S  0.250  0.750  0.073 [2 per cell]